(1)
Material: Y2Cu4Rh
Method: DFT, PBE
State: relaxed

abc: 7.784 7.784 7.784
angles: 145.51 145.51 49.58
Element x y z (fractional)
Y1 0.130 0.130 0.000
Y2 0.870 0.870 0.000
Cu1 0.000 0.500 0.500
Cu2 0.327 0.327 0.000
Cu3 0.500 0.000 0.500
Cu4 0.673 0.673 0.000
Rh1 0.500 0.500 0.000

Results
**DOS at the Fermi energy**: 6.25 states/eV per cell
**Formation energy from the elements**: 5.4 kcal/mol of atoms
**Volume**: 21.5 A^3/atom
**Calculated total energy**: -5.005 eV/atom
**Space-group type**: I4/mmm


(2)
Material: Th4InPd
Method: DFT, PBE
State: relaxed

abc: 7.641 7.641 5.859
angles: 90.00 90.00 90.00
Element x y z (fractional)
Th1 0.147 0.334 0.000
Th2 0.147 0.666 0.500
Th3 0.334 0.147 0.500
Th4 0.334 0.853 0.000
Th5 0.666 0.147 0.000
Th6 0.666 0.853 0.500
Th7 0.853 0.334 0.500
Th8 0.853 0.666 0.000
In1 0.500 0.500 0.250
In2 0.500 0.500 0.750
Pd1 0.000 0.000 0.250
Pd2 0.000 0.000 0.750

Results
**DOS at the Fermi energy**: 13.92 states/eV per cell
**Formation energy from the elements**: -7.7 kcal/mol of atoms
**Volume**: 28.5 A^3/atom
**Calculated total energy**: -6.600 eV/atom
**Space-group type**: P4/mcc


(3)
Material: ZnGaAgBi
Method: DFT, PBE
State: relaxed

abc: 4.995 4.995 4.995
angles: 60.00 60.00 60.00
Element x y z (fractional)
Zn1 0.000 0.000 0.000
Ga1 0.750 0.750 0.750
Ag1 0.500 0.500 0.500
Bi1 0.250 0.250 0.250

Results
**DOS at the Fermi energy**: 1.83 states/eV per cell
**Formation energy from the elements**: 3.5 kcal/mol of atoms
**Volume**: 22.0 A^3/atom
**Calculated total energy**: -2.606 eV/atom
**Space-group type**: F-43m


(4)
Material: AcSmMgBi
Method: DFT, PBE
State: relaxed

abc: 5.699 5.699 5.699
angles: 60.00 60.00 60.00
Element x y z (fractional)
Ac1 0.000 0.000 0.000
Sm1 0.500 0.500 0.500
Mg1 0.250 0.250 0.250
Bi1 0.750 0.750 0.750

Results
**DOS at the Fermi energy**: 4.89 states/eV per cell
**Formation energy from the elements**: -7.6 kcal/mol of atoms
**Volume**: 32.7 A^3/atom
**Calculated total energy**: -3.906 eV/atom
**Space-group type**: F-43m


(5)
Material: Sb2Mo
Method: DFT, PBE
State: relaxed

abc: 5.505 5.505 5.505
angles: 106.42 106.42 115.77
Element x y z (fractional)
Sb1 0.157 0.657 0.815
Sb2 0.343 0.157 0.500
Sb3 0.657 0.843 0.500
Sb4 0.843 0.343 0.185
Mo1 0.250 0.250 0.000
Mo2 0.750 0.750 0.000

Results
**DOS at the Fermi energy**: 4.26 states/eV per cell
**Volume**: 21.2 A^3/atom
**Calculated total energy**: -6.275 eV/atom
**Space-group type**: I4/mcm


(6)
Material: Ca2CdSe
Method: DFT, PBE
State: relaxed

abc: 3.740 3.707 7.557
angles: 90.00 90.12 90.00
Element x y z (fractional)
Ca1 0.001 0.000 0.269
Ca2 0.999 0.000 0.731
Cd1 0.500 0.500 0.000
Se1 0.500 0.500 0.500

Results
**DOS at the Fermi energy**: 1.18 states/eV per cell
**Volume**: 26.2 A^3/atom
**Calculated total energy**: -3.076 eV/atom
**Energy relative to the lowest polymorph listed for this composition**: 0.034 eV per atom
**Space-group type**: P2/m


(7)
Material: Cd3Bi2Br2
Method: DFT, PBE
State: relaxed

abc: 4.435 7.097 9.162
angles: 73.81 89.10 73.36
Element x y z (fractional)
Cd1 0.000 0.000 0.000
Cd2 0.298 0.382 0.696
Cd3 0.702 0.618 0.304
Bi1 0.316 0.314 0.015
Bi2 0.684 0.686 0.985
Br1 0.141 0.745 0.455
Br2 0.859 0.255 0.545

Results
**DOS at the Fermi energy**: 0.82 states/eV per cell
**Volume**: 37.8 A^3/atom
**Calculated total energy**: -2.282 eV/atom
**Space-group type**: P-1


(8)
Material: AgBiPd
Method: DFT, PBE
State: relaxed

abc: 4.603 4.603 4.603
angles: 60.00 60.00 60.00
Element x y z (fractional)
Ag1 0.000 0.000 0.000
Bi1 0.500 0.500 0.500
Pd1 0.750 0.750 0.750

Results
**DOS at the Fermi energy**: 2.16 states/eV per cell
**Formation energy from the elements**: -2.3 kcal/mol of atoms
**Volume**: 23.0 A^3/atom
**Calculated total energy**: -4.076 eV/atom
**Energy relative to the lowest polymorph listed for this composition**: 0.000 eV per atom
**Space-group type**: F-43m


(9)
Material: LaPm4Pb3
Method: DFT, PBE
State: relaxed

abc: 5.457 5.457 10.470
angles: 105.17 105.17 59.96
Element x y z (fractional)
La1 0.000 0.000 0.000
Pm1 0.127 0.127 0.380
Pm2 0.274 0.274 0.821
Pm3 0.726 0.726 0.179
Pm4 0.873 0.873 0.620
Pb1 0.389 0.389 0.166
Pb2 0.500 0.500 0.500
Pb3 0.611 0.611 0.834

Results
**DOS at the Fermi energy**: 5.86 states/eV per cell
**Formation energy from the elements**: -8.7 kcal/mol of atoms
**Volume**: 32.2 A^3/atom
**Calculated total energy**: -4.759 eV/atom
**Space-group type**: C2/m


(10)
Material: Ti3NiBi
Method: DFT, PBE
State: relaxed

abc: 5.535 5.535 9.371
angles: 98.80 98.80 39.30
Element x y z (fractional)
Ti1 0.053 0.053 0.339
Ti2 0.269 0.269 0.830
Ti3 0.435 0.435 0.121
Ti4 0.565 0.565 0.879
Ti5 0.731 0.731 0.170
Ti6 0.947 0.947 0.661
Ni1 0.113 0.113 0.060
Ni2 0.887 0.887 0.940
Bi1 0.348 0.348 0.404
Bi2 0.652 0.652 0.596

Results
**DOS at the Fermi energy**: 9.92 states/eV per cell
**Formation energy from the elements**: -3.8 kcal/mol of atoms
**Volume**: 17.9 A^3/atom
**Calculated total energy**: -6.835 eV/atom
**Energy relative to the lowest polymorph listed for this composition**: 0.042 eV per atom
**Space-group type**: C2/m